Material: Rb3Tm3NpO8
Method: DFT, PBE
State: relaxed

Geometry as extended XYZ:
```
15
Lattice="3.451 1.992 6.641 -3.451 1.992 6.641 0.000 -3.984 6.641" Properties=species:S:1:pos:R:3 pbc="T T T"
Rb -1.725 -0.996 6.641
Rb -1.725 0.996 13.281
Rb 0.000 1.992 6.641
Tm -3.451 0.000 9.961
Tm -1.725 0.996 3.320
Tm 1.725 0.996 3.320
Np 0.000 0.000 9.961
O 0.000 0.000 4.431
O -1.698 -0.980 11.057
O 0.000 -1.961 8.865
O -1.698 0.980 8.865
O 1.698 -0.980 11.057
O 0.000 1.961 11.057
O 1.698 0.980 8.865
O 0.000 0.000 15.491
```

## Properties
* N(E_F): 10.86 states/eV/f.u.
* electronic total energy: -0.272 hartree per atom